Density functional theory data (PBE) for an optimized crystal structure of AcPaC2N6.

abc: 6.482 6.482 6.852
angles: 101.97 101.97 101.65
Fractional positions:
Ac 0.145 0.855 0.750
Ac 0.855 0.145 0.250
Pa 0.409 0.591 0.250
Pa 0.591 0.409 0.750
C 0.122 0.376 0.745
C 0.376 0.122 0.245
C 0.624 0.878 0.755
C 0.878 0.624 0.255
N 0.074 0.579 0.299
N 0.176 0.213 0.630
N 0.213 0.176 0.130
N 0.286 0.516 0.904
N 0.421 0.926 0.201
N 0.484 0.714 0.596
N 0.516 0.286 0.404
N 0.579 0.074 0.799
N 0.714 0.484 0.096
N 0.787 0.824 0.870
N 0.824 0.787 0.370
N 0.926 0.421 0.701

Symmetry ... C2/c
N(E_F) ... 5.43 states/eV/f.u.
Formation energy (no corrections) ... -533 kJ/mol of formula units
Magnetization ... 0.00 μB/f.u.



Density functional theory data (PBE) for an optimized crystal structure of Ac3PbC2N6.

abc: 5.497 5.497 7.964
angles: 90.00 90.00 120.00
Fractional positions:
Ac 0.000 0.000 0.000
Ac 0.333 0.667 0.719
Ac 0.667 0.333 0.281
Pb 0.000 0.000 0.500
C 0.333 0.667 0.229
C 0.667 0.333 0.771
N 0.189 0.378 0.228
N 0.189 0.811 0.228
N 0.378 0.189 0.772
N 0.622 0.811 0.228
N 0.811 0.189 0.772
N 0.811 0.622 0.772

Symmetry ... P-3m1
N(E_F) ... 1.77 states/eV/f.u.
Formation energy (no corrections) ... -515 kJ/mol of formula units
Magnetization ... 0.00 μB/f.u.



Density functional theory data (PBE) for an optimized crystal structure of Ac2PbC2N6.

abc: 5.058 5.691 6.620
angles: 65.15 72.09 80.43
Fractional positions:
Ac 0.237 0.305 0.308
Ac 0.763 0.695 0.692
Pb 0.000 0.000 0.000
C 0.499 0.216 0.760
C 0.501 0.784 0.240
N 0.214 0.774 0.326
N 0.342 0.356 0.882
N 0.377 0.044 0.717
N 0.623 0.956 0.283
N 0.658 0.644 0.118
N 0.786 0.226 0.674

Symmetry ... P-1
Formation energy (no corrections) ... -329 kJ/mol of formula units
Magnetization ... 0.00 μB/f.u.



Density functional theory data (PBE) for an optimized crystal structure of AcPdCN2.

abc: 5.651 5.651 6.865
angles: 90.00 90.00 132.35
Fractional positions:
Ac 0.186 0.814 0.750
Ac 0.814 0.186 0.250
Pd 0.107 0.893 0.250
Pd 0.893 0.107 0.750
C 0.500 0.500 0.000
C 0.500 0.500 0.500
N 0.380 0.620 0.018
N 0.380 0.620 0.482
N 0.620 0.380 0.518
N 0.620 0.380 0.982

Symmetry ... Cmcm
N(E_F) ... 1.60 states/eV/f.u.
Formation energy (no corrections) ... -154 kJ/mol of formula units
Magnetization ... 0.00 μB/f.u.